(1)
A relaxed MgInGe2 crystal, computed with PBE.

The total energy comes out at -3.319 eV per atom. Its symmetry is P4/mmm. The calculation puts the polymorph energy (0 for the lowest one) at 4 meV/atom. The value obtained for the total magnetic moment is 0.00 μB per cell. The calculation puts the formation enthalpy at 0 K at 0.073 eV per atom.

a b c (Å): 3.6586 3.6586 6.3961
angles (deg): 90.00 90.00 90.00
Sites, in units of the cell vectors:
Ge  0.0000  0.0000  0.7782
In  0.5000  0.5000  0.5000
Ge  0.0000  0.0000  0.2218
Mg  0.5000  0.5000  0.0000

---

(2)
A relaxed Be2HgAs2 crystal, computed with PBE.

The total energy comes out at -3.222 eV per atom. Its symmetry is I4/mmm. The calculation puts the polymorph energy (0 for the lowest one) at 104 meV/atom. The value obtained for the total magnetic moment is 0.00 μB per cell. The calculation puts the formation enthalpy at 0 K at 0.189 eV per atom.

a b c (Å): 4.3071 4.3071 5.5545
angles (deg): 67.19 67.19 90.00
Sites, in units of the cell vectors:
As  0.3639  0.3639  0.2721
Be  0.2500  0.7500  0.5000
As  0.6361  0.6361  0.7279
Hg  0.0000  0.0000  0.0000
Be  0.7500  0.2500  0.5000

---

(3)
A relaxed Mg4SnHg crystal, computed with PBE.

The total energy comes out at -1.778 eV per atom. Its symmetry is F-43m. The calculation puts the polymorph energy (0 for the lowest one) at 155 meV/atom. The value obtained for the total magnetic moment is 0.00 μB per cell. The calculation puts the formation enthalpy at 0 K at 0.002 eV per atom.

a b c (Å): 5.8565 5.8565 5.8565
angles (deg): 60.00 60.00 60.00
Sites, in units of the cell vectors:
Mg  0.6248  0.6248  0.6248
Hg  0.0000  0.0000  0.0000
Mg  0.6248  0.6248  0.1256
Mg  0.6248  0.1256  0.6248
Sn  0.2500  0.2500  0.2500
Mg  0.1256  0.6248  0.6248

---

(4)
A relaxed TiAlVIr crystal, computed with PBE.

The total energy comes out at -8.076 eV per atom. Its symmetry is F-43m. The value obtained for the total magnetic moment is 2.98 μB per cell. The calculation puts the formation enthalpy at 0 K at -0.672 eV per atom.

a b c (Å): 4.3671 4.3671 4.3671
angles (deg): 60.00 60.00 60.00
Site moments in Bohr magnetons follow the coordinates.
Sites, in units of the cell vectors:
Ti  0.2500  0.2500  0.2500  0.24
Al  0.7500  0.7500  0.7500  -0.02
Ir  0.5000  0.5000  0.5000  0.07
V  0.0000  0.0000  0.0000  2.24

---

Repeat the fourth record exactly.
A relaxed TiAlVIr crystal, computed with PBE.

The total energy comes out at -8.076 eV per atom. Its symmetry is F-43m. The value obtained for the total magnetic moment is 2.98 μB per cell. The calculation puts the formation enthalpy at 0 K at -0.672 eV per atom.

a b c (Å): 4.3671 4.3671 4.3671
angles (deg): 60.00 60.00 60.00
Site moments in Bohr magnetons follow the coordinates.
Sites, in units of the cell vectors:
Ti  0.2500  0.2500  0.2500  0.24
Al  0.7500  0.7500  0.7500  -0.02
Ir  0.5000  0.5000  0.5000  0.07
V  0.0000  0.0000  0.0000  2.24

---

Q: Which of these has the highest total magnetic moment?
A: TiAlVIr

---

Q: Which formula does entry 1 have?
A: MgInGe2

---

Q: Look up the formation enthalpy at 0 K of the first one.
A: 0.073 eV per atom